Entry 1:
## NaZn11Au (GGA-PBE)

Data for a geometry-optimized NaZn11Au structure.

## Properties
Final energy   -19.34 eV for the cell shown
Mass density   7.26 g cm⁻³
Formation energy   -0.056 eV/atom
Volume   215 Å³ per cell

abc: 5.409 6.856 6.963
angles: 80.38 67.14 64.51
Element x y z (fractional)
Zn (0.000, 0.000, 0.500)
Zn (0.503, 0.783, 0.226)
Zn (0.497, 0.217, 0.774)
Zn (0.641, 0.353, 0.354)
Zn (0.005, 0.647, 0.354)
Zn (0.500, 0.000, 0.500)
Zn (0.000, 0.500, 0.000)
Zn (0.272, 0.217, 0.226)
Zn (0.359, 0.647, 0.646)
Zn (0.995, 0.353, 0.646)
Zn (0.728, 0.783, 0.774)
Au (0.500, 0.500, 0.000)
Na (0.000, 0.000, 0.000)

Entry 2:
## TiGeRh2 (GGA-PBE)

Data for a geometry-optimized TiGeRh2 structure.

## Properties
Final energy   -53.98 eV for the cell shown
Mass density   6.51 g cm⁻³
Formation energy   0.056 eV/atom
Volume   166 Å³ per cell

abc: 5.785 5.785 6.440
angles: 63.31 63.31 90.00
Element x y z (fractional)
Ti (0.250, 0.750, 0.500)
Ti (0.500, 0.500, 0.000)
Rh (0.628, 0.125, 0.250)
Rh (0.375, 0.372, 0.750)
Rh (0.875, 0.878, 0.750)
Rh (0.122, 0.625, 0.250)
Ge (0.750, 0.250, 0.500)
Ge (0.000, 0.000, 0.000)

Entry 3:
## TcAgH2Cl8 (GGA-PBE)

Data for a geometry-optimized TcAgH2Cl8 structure.

## Properties
Final energy   -41.18 eV for the cell shown
Mass density   2.44 g cm⁻³
Volume   334 Å³ per cell

abc: 6.811 6.257 7.865
angles: 91.47 92.49 94.17
Element x y z (fractional)
H (0.701, 0.756, 0.269)
H (0.299, 0.244, 0.731)
Cl (0.696, 0.750, 0.444)
Cl (0.170, 0.816, 0.207)
Cl (0.714, 0.766, 0.031)
Cl (0.830, 0.184, 0.793)
Cl (0.899, 0.228, 0.214)
Cl (0.304, 0.250, 0.556)
Cl (0.286, 0.234, 0.969)
Cl (0.101, 0.772, 0.786)
Tc (0.000, 0.000, 0.000)
Ag (0.000, 0.000, 0.500)

Entry 4:
## La2HoPa (GGA-PBE)

Data for a geometry-optimized La2HoPa structure.

## Properties
Final energy   -22.73 eV for the cell shown
Mass density   9.04 g cm⁻³
Formation energy   0.299 eV/atom
Volume   124 Å³ per cell

abc: 3.373 3.373 12.708
angles: 82.37 82.37 60.00
Element x y z (fractional)
La (0.084, 0.084, 0.748)
La (0.916, 0.916, 0.252)
Pa (0.000, 0.000, 0.000)
Ho (0.500, 0.500, 0.500)